The following is a PBE-GGA calculation of crystalline NiPtSeN2 at its relaxed geometry, from Alexandria.

Lattice parameters (Å, degrees): 3.6726 3.6726 7.9905 90.00 90.00 90.00
Closest atoms and distances in Å follow each position.
Sites, in units of the cell vectors:
Ni 0.5000 0.5000 0.5000  4 Se 2.60
Se 0.0000 0.0000 0.5000  4 Ni 2.60
Pt 0.0000 0.0000 0.0000  4 N 1.84
N 0.0000 0.5000 0.0000  2 Pt 1.84
N 0.5000 0.0000 0.0000  2 Pt 1.84

Computed properties:
As for the calculated density: 5.558 g/cm3. As for the symmetry: P4/mmm (123). The total moment comes out at 1.21 μB per formula unit. Its total energy is -25.838 eV/cell.